# CdIn4Hg15

A geometry-optimized CdIn4Hg15 structure (PBE-GGA, Alexandria).

VASP energy: -16.3 eV/cell
energy of formation: 0.01 eV/atom

a = 5.1705 Å, b = 5.1705 Å, c = 19.7854 Å
α = 90.00°, β = 90.00°, γ = 90.00°
Closest atoms and distances in Å follow each position.
Space group P4/mmm (No. 123)
Unique sites:
Cd  0.0000  0.0000  0.0000 x1  8 Hg 3.21
In  0.0000  0.0000  0.1952 x2  8 Hg 3.24-3.28
In  0.0000  0.0000  0.3985 x2  12 Hg 3.27-3.66
Hg  0.0000  0.5000  0.0964 x4  4 Hg 3.21-3.27, 2 Cd 3.21, 2 In 3.24
Hg  0.0000  0.5000  0.2973 x4  4 Hg 3.26-3.27, 4 In 3.27-3.28
Hg  0.0000  0.5000  0.5000 x2  8 Hg 3.27-3.66, 4 In 3.27
Hg  0.5000  0.5000  0.0000 x1  8 Hg 3.21
Hg  0.5000  0.5000  0.1973 x2  8 Hg 3.26-3.27
Hg  0.5000  0.5000  0.3987 x2  8 Hg 3.27, 4 In 3.66